(1)
First-principles (PBE) data for crystalline Ce6NO5 at its relaxed geometry, as listed in the Alexandria database.

Values from the calculation:
- mass density (g/cm³) = 8.32
- V (Å³ per cell) = 186.45
- Fermi-level density of states (states/eV/atom) = 1.00
- formation energy without anion corrections (meV/atom) = -2679

Structure (POSCAR):
```
Ce6NO5
1.0
6.006 -0.094 -1.132
-3.246 5.055 -1.132
0.118 0.212 6.107
O Ce N
5 6 1
direct
0.667 0.333 0.000
0.164 0.836 0.500
0.333 0.667 0.000
0.836 0.164 0.500
0.500 0.500 0.500
0.751 0.751 0.248
0.917 0.586 0.751
0.249 0.249 0.752
0.586 0.917 0.751
0.083 0.414 0.249
0.414 0.083 0.249
0.000 0.000 0.000
```

---

(2)
First-principles (PBE) data for crystalline SrMnAs2Pd at its relaxed geometry, as listed in the Alexandria database.

Values from the calculation:
- mass density (g/cm³) = 6.40
- V (Å³ per cell) = 103.45
- Fermi-level density of states (states/eV/atom) = 0.65
- E_tot (eV per atom) = -5.734

Structure (POSCAR):
```
SrMnAs2Pd
1.0
4.220 0.000 0.000
0.000 4.220 0.000
-2.110 -2.110 5.809
As Sr Pd Mn
2 1 1 1
direct
0.629 0.629 0.258
0.371 0.371 0.742
0.000 0.000 0.000
0.250 0.750 0.500
0.750 0.250 0.500
```

---

(3)
First-principles (PBE) data for crystalline KSeS4 at its relaxed geometry, as listed in the Alexandria database.

Values from the calculation:
- mass density (g/cm³) = 2.30
- V (Å³ per cell) = 177.97
- Fermi-level density of states (states/eV/atom) = 0.44
- formation energy without anion corrections (meV/atom) = -241

Structure (POSCAR):
```
KSeS4
1.0
-1.634 -1.416 4.849
6.775 -2.875 4.788
-4.328 6.085 -2.698
Se S K
1 4 1
direct
0.052 0.508 0.510
0.103 0.192 0.484
0.855 0.814 0.520
0.174 0.453 0.940
0.782 0.562 0.068
0.523 0.988 0.986
```

---

(4)
First-principles (PBE) data for crystalline NaReOs3 at its relaxed geometry, as listed in the Alexandria database.

Values from the calculation:
- mass density (g/cm³) = 12.01
- relative energy among the computed polymorphs (meV per atom) = 0.0
- V (Å³ per cell) = 107.85
- Fermi-level density of states (states/eV/atom) = 1.38

Structure (POSCAR):
```
NaReOs3
1.0
4.760 0.000 0.000
0.000 4.760 0.000
0.000 0.000 4.760
Os Na Re
3 1 1
direct
0.000 0.500 0.000
0.500 0.000 0.000
0.000 0.000 0.500
0.500 0.500 0.500
0.000 0.000 0.000
```